Density functional theory data (PBE-GGA) for a geometry-optimized Ag2PW structure.

Cell: 3.0228 3.0458 7.5647 Å, 78.46 90.00 90.00°
Sites, in units of the cell vectors:
1 Ag 0.0000 0.0699 0.9865
2 Ag 0.5000 0.4358 0.2566
3 P 0.0000 0.2872 0.5482
4 W 0.5000 0.7072 0.7087

## Properties
- Total magnetization: 0.0 μB/cell
- Volume: 17.1 A^3/atom
- DFT formation energy: 0.201 eV per atom



Density functional theory data (PBE-GGA) for a geometry-optimized Sc3Re2Si4 structure.

Cell: 10.1616 10.1616 13.7032 Å, 56.12 56.12 30.60°
Sites, in units of the cell vectors:
1 Re 0.1388 0.9118 0.5763
2 Re 0.0882 0.8612 0.9237
3 Re 0.8612 0.0882 0.4237
4 Re 0.9118 0.1388 0.0763
5 Re 0.6433 0.8284 0.7829
6 Re 0.1716 0.3567 0.7171
7 Re 0.3567 0.1716 0.2171
8 Re 0.8284 0.6433 0.2829
9 Sc 0.2925 0.0360 0.6384
10 Sc 0.9640 0.7075 0.8616
11 Sc 0.7075 0.9640 0.3616
12 Sc 0.0360 0.2925 0.1384
13 Sc 0.5210 0.2474 0.9536
14 Sc 0.7526 0.4790 0.5464
15 Sc 0.4790 0.7526 0.0464
16 Sc 0.2474 0.5210 0.4536
17 Sc 0.5315 0.3034 0.6594
18 Sc 0.6966 0.4685 0.8406
19 Sc 0.4685 0.6966 0.3406
20 Sc 0.3034 0.5315 0.1594
21 Si 0.2280 0.0042 0.8740
22 Si 0.9958 0.7720 0.6260
23 Si 0.7720 0.9958 0.1260
24 Si 0.0042 0.2280 0.3740
25 Si 0.3924 0.1514 0.8915
26 Si 0.8486 0.6076 0.6085
27 Si 0.6076 0.8486 0.1085
28 Si 0.1514 0.3924 0.3915
29 Si 0.6004 0.0505 0.5721
30 Si 0.9495 0.3996 0.9279
31 Si 0.3996 0.9495 0.4279
32 Si 0.0505 0.6004 0.0721
33 Si 0.3605 0.6395 0.7500
34 Si 0.6395 0.3605 0.2500
35 Si 0.8891 0.1109 0.7500
36 Si 0.1109 0.8891 0.2500

## Properties
- Total magnetization: 0.0 μB/cell
- Volume: 16.3 A^3/atom
- Final energy: -72.1 eV per formula unit



Density functional theory data (PBE-GGA) for a geometry-optimized Ho3CdRh4 structure.

Cell: 4.7537 4.7537 8.2036 Å, 73.16 73.16 60.00°
Sites, in units of the cell vectors:
1 Rh 0.8746 0.8746 0.3763
2 Rh 0.3779 0.3779 0.8663
3 Rh 0.1254 0.1254 0.6237
4 Rh 0.6221 0.6221 0.1337
5 Ho 0.2561 0.2561 0.2317
6 Ho 0.7439 0.7439 0.7683
7 Ho 0.5000 0.5000 0.5000
8 Cd 0.0000 0.0000 0.0000

## Properties
- Total magnetization: 0.0 μB/cell
- Volume: 18.9 A^3/atom
- DFT formation energy: -0.777 eV per atom



Density functional theory data (PBE-GGA) for a geometry-optimized La8Y2In structure.

Cell: 5.0933 8.2535 9.6985 Å, 105.13 105.22 90.00°
Sites, in units of the cell vectors:
1 La 0.5902 0.4480 0.1803
2 La 0.3251 0.0919 0.6501
3 La 0.1357 0.1763 0.2714
4 La 0.0448 0.7348 0.0897
5 La 0.8643 0.8237 0.7286
6 La 0.6749 0.9081 0.3499
7 La 0.4098 0.5520 0.8197
8 La 0.9552 0.2652 0.9103
9 Y 0.2264 0.6343 0.4529
10 Y 0.7736 0.3657 0.5471
11 In 0.5000 0.0000 0.0000

## Properties
- Total magnetization: 0.0 μB/cell
- Volume: 34.4 A^3/atom
- DFT formation energy: -0.078 eV per atom



Density functional theory data (PBE-GGA) for a geometry-optimized RbCrSN2 structure.

Cell: 4.9803 4.9803 6.5006 Å, 90.00 90.00 90.00°
Sites, in units of the cell vectors:
1 Cr 0.5000 0.5000 0.5000
2 S 0.0000 0.0000 0.5000
3 Rb 0.0000 0.0000 0.0000
4 N 0.0000 0.5000 0.0000
5 N 0.5000 0.0000 0.0000

## Properties
- Energy above the lowest structure with this stoichiometry: 2.049 eV/atom
- Total magnetization: 9.7 μB/cell
- Volume: 32.2 A^3/atom



Density functional theory data (PBE-GGA) for a geometry-optimized Y3In structure.

Cell: 5.4901 3.5337 6.0863 Å, 90.00 90.00 90.00°
Sites, in units of the cell vectors:
1 Y 0.0000 0.0000 0.9913
2 Y 0.0000 0.5000 0.5053
3 Y 0.5000 0.5000 0.1588
4 In 0.5000 0.0000 0.6779

## Properties
- Total magnetization: 0.0 μB/cell
- Volume: 29.5 A^3/atom
- DFT formation energy: -0.176 eV per atom



Density functional theory data (PBE-GGA) for a geometry-optimized K3ErAg2Cl9 structure.

Cell: 7.4125 7.4125 9.2033 Å, 90.00 90.00 120.00°
Sites, in units of the cell vectors:
1 K 0.3333 0.6667 0.7148
2 K 0.0000 0.0000 0.0000
3 K 0.6667 0.3333 0.2852
4 Er 0.0000 0.0000 0.5000
5 Ag 0.3333 0.6667 0.1593
6 Ag 0.6667 0.3333 0.8407
7 Cl 0.8361 0.1639 0.6663
8 Cl 0.8361 0.6723 0.6663
9 Cl 0.3277 0.1639 0.6663
10 Cl 0.6723 0.8361 0.3337
11 Cl 0.1639 0.3277 0.3337
12 Cl 0.1639 0.8361 0.3337
13 Cl 0.5000 0.0000 0.0000
14 Cl 0.0000 0.5000 0.0000
15 Cl 0.5000 0.5000 0.0000

## Properties
- Total magnetization: 0.0 μB/cell
- Volume: 29.2 A^3/atom
- Final energy: -52.9 eV per formula unit



Density functional theory data (PBE-GGA) for a geometry-optimized Sr2LiCa2 structure.

Cell: 8.4261 8.4261 6.3617 Å, 90.00 90.00 90.00°
Sites, in units of the cell vectors:
1 Sr 0.1712 0.6712 0.5000
2 Sr 0.6712 0.8288 0.5000
3 Sr 0.8288 0.3288 0.5000
4 Sr 0.3288 0.1712 0.5000
5 Ca 0.3498 0.8498 0.0000
6 Ca 0.8498 0.6502 0.0000
7 Ca 0.6502 0.1502 0.0000
8 Ca 0.1502 0.3498 0.0000
9 Li 0.0000 0.0000 0.0000
10 Li 0.5000 0.5000 0.0000

## Properties
- Energy above the lowest structure with this stoichiometry: 0.113 eV/atom
- Total magnetization: 0.0 μB/cell
- Volume: 45.2 A^3/atom
- DFT formation energy: 0.132 eV per atom